#i
This record from Alexandria via LeMat-Bulk describes a geometry-optimized Sr2ZrMo structure. The functional is PBE.

The structure in extended XYZ format:
```
4
Lattice="-3.991 -3.650 1.325 -5.341 1.237 -0.977 -2.784 -2.663 -4.021" Properties=species:S:1:pos:R:3 pbc="T T T"
Sr -3.029 -1.269 -0.918
Sr -9.087 -3.807 -2.754
Mo -6.058 -2.538 -1.836
Zr 0.000 0.000 0.000
```

The calculated density comes out at 4.93 g/cm³.



#ii
This record from Alexandria via LeMat-Bulk describes a geometry-optimized Sr2ZrMo structure. The functional is PBE.

The structure in extended XYZ format:
```
4
Lattice="-1.723 2.276 2.304 -1.044 -2.861 2.044 7.872 0.782 5.115" Properties=species:S:1:pos:R:3 pbc="T T T"
Zr 4.533 0.450 2.945
Sr 1.046 -0.051 3.752
Sr 7.330 0.729 4.763
Mo 4.005 0.243 5.675
```

The calculated density comes out at 4.75 g/cm³.



Which structure is the least stable? The one labeled #i.



#i
This record from Alexandria via LeMat-Bulk describes a geometry-optimized Sr2ZrMo structure. The functional is PBE.

The structure in extended XYZ format:
```
4
Lattice="4.494 0.000 0.000 0.000 3.376 0.060 0.000 1.245 8.639" Properties=species:S:1:pos:R:3 pbc="T T T"
Mo 2.247 3.355 5.841
Sr 2.247 1.289 2.727
Sr 0.000 4.395 8.119
Zr 0.000 2.512 5.060
```

The calculated density comes out at 4.60 g/cm³.



#ii
This record from Alexandria via LeMat-Bulk describes a geometry-optimized Sr2ZrMo structure. The functional is PBE.

The structure in extended XYZ format:
```
8
Lattice="11.837 0.000 0.000 0.000 11.837 0.000 5.919 5.919 2.410" Properties=species:S:1:pos:R:3 pbc="T T T"
Zr 5.919 5.919 0.000
Zr 5.919 11.837 1.205
Sr 14.796 4.881 1.807
Sr 8.878 6.956 1.807
Sr 10.800 2.959 0.602
Sr 12.875 8.878 0.602
Mo 0.000 0.000 0.000
Mo 11.837 5.919 1.205
```

The calculated density comes out at 3.56 g/cm³.



Which structure is the least stable? The one labeled #ii.



#i
This record from Alexandria via LeMat-Bulk describes a geometry-optimized SrZrMo structure. The functional is PBE.

The structure in extended XYZ format:
```
3
Lattice="3.467 0.000 0.000 -1.733 3.002 0.000 0.000 0.000 7.554" Properties=species:S:1:pos:R:3 pbc="T T T"
Zr 0.000 2.002 5.514
Sr 1.733 1.001 2.296
Mo 0.000 0.000 7.298
```

The calculated density comes out at 5.80 g/cm³.



#ii
This record from Alexandria via LeMat-Bulk describes a geometry-optimized SrZrMo structure. The functional is PBE.

The structure in extended XYZ format:
```
6
Lattice="3.449 -0.002 0.002 1.713 4.924 0.001 0.055 2.426 10.686" Properties=species:S:1:pos:R:3 pbc="T T T"
Zr 2.506 3.658 8.052
Zr 0.778 4.382 10.531
Mo 4.206 5.961 7.867
Mo 2.485 6.503 9.629
Sr 4.160 4.492 2.010
Sr 0.770 1.915 5.144
```

The calculated density comes out at 5.03 g/cm³.



Which structure is the least stable? The one labeled #i.



#i
This record from Alexandria via LeMat-Bulk describes a geometry-optimized SrZr2Mo structure. The functional is PBE.

The structure in extended XYZ format:
```
4
Lattice="6.182 0.009 0.003 2.535 5.638 -0.003 -3.449 -4.227 2.907" Properties=species:S:1:pos:R:3 pbc="T T T"
Sr 1.722 2.117 1.452
Zr 4.761 3.084 0.000
Zr 8.315 5.386 0.000
Mo 3.546 -0.698 1.455
```

The calculated density comes out at 6.01 g/cm³.



#ii
This record from Alexandria via LeMat-Bulk describes a geometry-optimized SrZr2Mo structure. The functional is PBE.

The structure in extended XYZ format:
```
4
Lattice="-2.333 -4.560 0.239 -0.080 -4.586 -2.292 4.588 -2.697 4.111" Properties=species:S:1:pos:R:3 pbc="T T T"
Zr 4.163 -2.553 3.731
Zr 1.502 -8.863 1.429
Sr 0.632 -2.936 0.593
Mo 1.554 -6.108 1.446
```

The calculated density comes out at 5.53 g/cm³.



#iii
This record from Alexandria via LeMat-Bulk describes a geometry-optimized SrZr2Mo structure. The functional is PBE.

The structure in extended XYZ format:
```
4
Lattice="4.981 0.453 0.000 -1.153 4.866 0.000 0.000 0.000 3.731" Properties=species:S:1:pos:R:3 pbc="T T T"
Sr -0.577 2.433 1.866
Mo 2.490 0.227 1.866
Zr 0.000 0.000 0.000
Zr 1.914 2.660 0.000
```

The calculated density comes out at 6.58 g/cm³.



Which structure is the least stable? The one labeled #iii.



#i
This record from Alexandria via LeMat-Bulk describes a geometry-optimized SrZr2Mo structure. The functional is PBE.

The structure in extended XYZ format:
```
4
Lattice="-2.273 -2.626 3.460 4.210 -2.268 1.044 0.818 2.715 2.598" Properties=species:S:1:pos:R:3 pbc="T T T"
Zr 0.969 -2.447 2.252
Zr 0.000 0.000 0.000
Sr 2.514 0.223 1.821
Mo -0.727 0.044 3.029
```

The calculated density comes out at 6.59 g/cm³.



#ii
This record from Alexandria via LeMat-Bulk describes a geometry-optimized SrZr2Mo structure. The functional is PBE.

The structure in extended XYZ format:
```
4
Lattice="0.000 3.580 3.580 3.580 0.000 3.580 3.580 3.580 0.000" Properties=species:S:1:pos:R:3 pbc="T T T"
Sr 0.000 0.000 0.000
Zr 5.370 5.370 5.370
Zr 1.790 1.790 1.790
Mo 3.580 3.580 3.580
```

The calculated density comes out at 6.62 g/cm³.



#iii
This record from Alexandria via LeMat-Bulk describes a geometry-optimized SrZr2Mo structure. The functional is PBE.

The structure in extended XYZ format:
```
4
Lattice="-1.097 2.369 -3.790 -3.760 1.766 -1.980 0.747 6.782 3.362" Properties=species:S:1:pos:R:3 pbc="T T T"
Zr -1.905 5.926 -0.827
Zr 0.597 6.314 2.985
Mo -3.083 8.188 -1.806
Sr -1.028 2.729 -0.602
```

The calculated density comes out at 5.69 g/cm³.



Which structure is the least stable? The one labeled #i.



#i
This record from Alexandria via LeMat-Bulk describes a geometry-optimized TaMo7 structure. The functional is PBE.

The structure in extended XYZ format:
```
8
Lattice="-4.893 1.497 1.246 0.498 -4.359 -2.913 -0.498 -3.343 4.062" Properties=species:S:1:pos:R:3 pbc="T T T"
Mo -4.219 -1.161 1.013
Mo -3.562 -3.813 0.790
Mo -0.677 -5.054 1.389
Mo -5.373 -1.851 5.298
Mo -1.343 -2.406 1.607
Mo -3.365 -2.108 3.453
Mo -2.700 -4.755 3.235
Ta -1.523 -4.088 -1.067
```

The calculated density comes out at 11.00 g/cm³.



#ii
This record from Alexandria via LeMat-Bulk describes a geometry-optimized TaMo7 structure. The functional is PBE.

The structure in extended XYZ format:
```
16
Lattice="6.366 -0.002 -0.011 0.011 6.366 -0.011 0.002 0.002 6.366" Properties=species:S:1:pos:R:3 pbc="T T T"
Mo 2.402 2.397 0.795
Mo 3.977 3.969 5.548
Mo 0.811 3.969 2.389
Mo 5.568 2.397 3.955
Mo 2.403 2.398 3.959
Mo 3.971 0.803 2.389
Mo 0.810 3.975 5.555
Mo 2.408 5.563 3.955
Mo 2.402 5.563 0.788
Mo 3.976 0.802 5.555
Mo 3.975 3.967 2.384
Mo 0.804 0.802 2.389
Mo 5.568 2.391 0.788
Mo 5.575 5.563 3.954
Ta 0.813 0.811 5.553
Ta 5.565 5.554 0.791
```

The calculated density comes out at 10.98 g/cm³.



#iii
This record from Alexandria via LeMat-Bulk describes a geometry-optimized TaMo7 structure. The functional is PBE.

The structure in extended XYZ format:
```
8
Lattice="-1.753 0.683 2.563 -0.775 -12.095 18.472 2.193 -5.202 8.804" Properties=species:S:1:pos:R:3 pbc="T T T"
Mo -2.140 -5.365 11.799
Mo -0.291 -4.536 6.927
Mo -0.194 -3.023 4.618
Mo -2.233 -6.888 14.114
Mo -1.736 0.641 2.586
Mo -0.599 -9.030 13.831
Mo -0.102 -1.500 2.303
Ta -0.678 -10.583 16.163
```

The calculated density comes out at 10.99 g/cm³.



Which structure is the least stable? The one labeled #ii.



#i
This record from Alexandria via LeMat-Bulk describes a geometry-optimized TaMo7 structure. The functional is PBE.

The structure in extended XYZ format:
```
8
Lattice="-0.638 3.743 2.421 -5.221 -0.487 -0.623 -1.201 -3.055 4.407" Properties=species:S:1:pos:R:3 pbc="T T T"
Mo -3.507 -2.538 3.000
Mo -0.605 -1.524 2.197
Mo -6.408 -3.537 3.780
Mo -4.669 0.359 2.404
Mo -5.302 -1.164 4.591
Mo -2.375 -0.159 3.809
Mo -2.924 -1.012 0.794
Ta -1.774 1.368 1.606
```

The calculated density comes out at 11.00 g/cm³.



#ii
This record from Alexandria via LeMat-Bulk describes a geometry-optimized TaMo7 structure. The functional is PBE.

The structure in extended XYZ format:
```
8
Lattice="0.000 4.030 4.030 4.030 0.000 4.030 4.030 4.030 0.000" Properties=species:S:1:pos:R:3 pbc="T T T"
Mo 2.015 2.015 0.000
Mo 0.000 2.015 2.015
Mo 4.030 2.015 2.015
Mo 2.015 0.000 2.015
Mo 2.015 2.015 4.030
Mo 2.015 4.030 2.015
Mo 4.030 4.030 4.030
Ta 0.000 0.000 0.000
```

The calculated density comes out at 10.82 g/cm³.



Which structure is the least stable? The one labeled #ii.



#i
This record from Alexandria via LeMat-Bulk describes a geometry-optimized Ta2Mo5 structure. The functional is PBE.

The structure in extended XYZ format:
```
7
Lattice="7.022 0.007 0.005 5.568 4.279 0.005 5.568 1.896 3.836" Properties=species:S:1:pos:R:3 pbc="T T T"
Ta 12.938 4.405 2.740
Ta 15.596 5.310 3.303
Mo 2.559 0.871 0.542
Mo 5.188 1.766 1.099
Mo 10.375 3.532 2.197
Mo 0.001 0.000 0.000
Mo 7.817 2.661 1.655
```

The calculated density comes out at 12.15 g/cm³.



#ii
This record from Alexandria via LeMat-Bulk describes a geometry-optimized Ta2Mo5 structure. The functional is PBE.

The structure in extended XYZ format:
```
7
Lattice="11.520 0.003 0.000 10.634 4.431 0.000 -11.077 -2.217 2.258" Properties=species:S:1:pos:R:3 pbc="T T T"
Mo 18.990 3.800 0.000
Mo 6.364 1.274 0.000
Mo 15.910 3.184 0.000
Mo 22.069 4.417 0.000
Mo 9.461 1.893 0.000
Ta 3.233 0.647 0.000
Ta 12.592 2.520 0.000
```

The calculated density comes out at 12.13 g/cm³.



Which structure is the least stable? The one labeled #ii.